The following is a PBEsol calculation of a relaxed structure of Mn2MoP, from Alexandria.

total DFT energy (no corrections) = -75.7 eV per cell
size of the total moment = 0.00 μB per cell
formation enthalpy at 0 K = -19 kJ per mole of atoms
Fermi-level density of states = 0.917 states/eV per atom

a b c (Å): 2.903 3.956 8.065
angles (deg): 90.00 90.00 90.00
Space group Imm2 (No. 44)
Asymmetric unit:
Mn  0.000  0.000  0.000 x2
Mn  0.000  0.500  0.233 x2
Mo  0.000  0.000  0.469 x2
P  0.000  0.500  0.719 x2



The following is a PBEsol calculation of a relaxed structure of KAu2Br, from Alexandria.

total DFT energy (no corrections) = -10.9 eV per cell
uncorrected formation energy = -2 meV per atom
size of the total moment = 0.00 μB per cell
Fermi-level density of states = 0.215 states/eV per atom

a b c (Å): 4.150 4.150 5.662
angles (deg): 90.00 90.00 90.00
Space group P4/mmm (No. 123)
Asymmetric unit:
K  0.000  0.000  0.000 x1
Au  0.500  0.500  0.240 x2
Br  0.000  0.000  0.500 x1



The following is a PBEsol calculation of a relaxed structure of HgOs2Pt, from Alexandria.

total DFT energy (no corrections) = -113.7 eV per cell
size of the total moment = 0.02 μB per cell
formation enthalpy at 0 K = 85 kJ per mole of atoms
Fermi-level density of states = 1.519 states/eV per atom

a b c (Å): 6.312 6.312 6.312
angles (deg): 90.00 90.00 90.00
Space group F-43m (No. 216)
Asymmetric unit:
Hg  0.000  0.000  0.000 x4
Os  0.000  0.000  0.500 x4
Os  0.250  0.250  0.250 x4
Pt  0.250  0.250  0.750 x4



The following is a PBEsol calculation of a relaxed structure of KBeCu, from Alexandria.

total DFT energy (no corrections) = -16.2 eV per cell
size of the total moment = 0.00 μB per cell
formation enthalpy at 0 K = 45 kJ per mole of atoms
Fermi-level density of states = 0.290 states/eV per atom

a b c (Å): 2.868 3.416 11.584
angles (deg): 90.00 90.00 90.00
Space group Imm2 (No. 44)
Asymmetric unit:
K  0.000  0.000  0.000 x2
Be  0.000  0.000  0.740 x2
Cu  0.000  0.000  0.265 x2



The following is a PBEsol calculation of a relaxed structure of ScCuCl3, from Alexandria.

total DFT energy (no corrections) = -21.4 eV per cell
uncorrected formation energy = -890 meV per atom
size of the total moment = 0.08 μB per cell
Fermi-level density of states = 0.692 states/eV per atom

a b c (Å): 4.897 4.897 4.897
angles (deg): 90.00 90.00 90.00
Space group Pm-3m (No. 221)
Asymmetric unit:
Sc  0.000  0.000  0.000 x1
Cu  0.500  0.500  0.500 x1
Cl  0.000  0.000  0.500 x3



The following is a PBEsol calculation of a relaxed structure of BePO4, from Alexandria.

total DFT energy (no corrections) = -86.3 eV per cell
uncorrected formation energy = -2064 meV per atom
size of the total moment = 2.07 μB per cell
Fermi-level density of states = 0.500 states/eV per atom

a b c (Å): 4.948 4.948 7.321
angles (deg): 90.00 90.00 90.00
Space group I-4 (No. 82)
Asymmetric unit:
Be  0.000  0.000  0.000 x2
P  0.000  0.500  0.250 x2
O  0.052  0.745  0.128 x8



The following is a PBEsol calculation of a relaxed structure of CuOs2Se, from Alexandria.

total DFT energy (no corrections) = -59.2 eV per cell
uncorrected formation energy = 751 meV per atom
size of the total moment = 0.00 μB per cell
Fermi-level density of states = 0.749 states/eV per atom

a b c (Å): 4.005 4.005 7.064
angles (deg): 90.00 90.00 90.00
Space group I-4m2 (No. 119)
Asymmetric unit:
Cu  0.000  0.000  0.000 x2
Os  0.000  0.000  0.500 x2
Os  0.000  0.500  0.750 x2
Se  0.000  0.500  0.250 x2



The following is a PBEsol calculation of a relaxed structure of LiCa3H, from Alexandria.

total DFT energy (no corrections) = -12.2 eV per cell
size of the total moment = 0.00 μB per cell
Fermi-level density of states = 0.613 states/eV per atom

a b c (Å): 5.122 5.122 5.122
angles (deg): 90.00 90.00 90.00
Space group Pm-3m (No. 221)
Asymmetric unit:
Li  0.000  0.000  0.000 x1
Ca  0.000  0.500  0.500 x3
H  0.500  0.500  0.500 x1



The following is a PBEsol calculation of a relaxed structure of P2Se5, from Alexandria.

total DFT energy (no corrections) = -122.7 eV per cell
uncorrected formation energy = 23 meV per atom
size of the total moment = 0.00 μB per cell

a b c (Å): 6.876 20.021 5.518
angles (deg): 90.00 113.02 90.00
Space group P2_1/c (No. 14)
Asymmetric unit:
P  0.222  0.047  0.293 x4
P  0.226  0.165  0.744 x4
Se  0.060  0.694  0.127 x4
Se  0.071  0.608  0.438 x4
Se  0.228  0.052  0.707 x4
Se  0.485  0.607  0.157 x4
Se  0.490  0.693  0.853 x4



The following is a PBEsol calculation of a relaxed structure of YCd2In, from Alexandria.

total DFT energy (no corrections) = -37.2 eV per cell
size of the total moment = 0.00 μB per cell
formation enthalpy at 0 K = -5 kJ per mole of atoms
Fermi-level density of states = 0.759 states/eV per atom

a b c (Å): 3.3183 3.3183 30.6946
angles (deg): 90.00 90.00 120.00
Space group R-3m (No. 166, hexagonal axes)
Asymmetric unit:
Y  0.0000  0.0000  0.0000 x3
Cd  0.0000  0.0000  0.2483 x6
In  0.0000  0.0000  0.5000 x3



The following is a PBEsol calculation of a relaxed structure of ErCuSi, from Alexandria.

total DFT energy (no corrections) = -17.1 eV per cell
uncorrected formation energy = -685 meV per atom
size of the total moment = 0.00 μB per cell
Fermi-level density of states = 0.526 states/eV per atom

a b c (Å): 4.0751 4.0751 3.6097
angles (deg): 90.00 90.00 120.00
Space group P-6m2 (No. 187)
Asymmetric unit:
Er  0.0000  0.0000  0.0000 x1
Cu  0.3333  0.6667  0.5000 x1
Si  0.6667  0.3333  0.5000 x1